The following is a DFT calculation (PBE) of a geometry-optimized Sr3SnPt structure.

Results
V: 38.57 Å³ per atom
Energy relative to the lowest polymorph listed for this composition: 0 meV/atom
Total moment: 0.00 Bohr magnetons per cell
Energy of formation: -51.27 kJ per mole of atoms

Structure (POSCAR):
```
Sr3SnPt
1.0
5.778 0.000 0.000
0.000 5.778 0.000
0.000 0.000 5.778
Sr Sn Pt
3 1 1
Direct
0.000 0.000 0.500
0.000 0.500 0.000
0.500 0.000 0.000
0.500 0.500 0.500
0.000 0.000 0.000
```